Density functional theory data (PBE-GGA) for a geometry-optimized Y3In3Ir2Pd structure.

POSCAR file:
```
Y3In3Ir2Pd
1.0
7.5963 0.0000 0.0000
-3.7981 6.5786 0.0000
0.0000 0.0000 3.9017
Y In Ir Pd
3 3 2 1
direct
0.0000 0.5890 0.0000
0.4110 0.4110 0.0000
0.5890 0.0000 0.0000
0.0000 0.2591 0.5000
0.2591 0.0000 0.5000
0.7409 0.7409 0.5000
0.3333 0.6667 0.5000
0.6667 0.3333 0.5000
0.0000 0.0000 0.0000
```

Computed properties:
**Uncorrected energy**: -0.2337 hartree per atom
**SG**: P-62m, No. 189